## Li4VNi3O8 (GGA+U)

Data for crystalline Li4VNi3O8 at its relaxed geometry.

Crystal system: triclinic
Uncorrected energy, eV for the cell shown: -85.34

abc: 6.2327 5.9730 5.1666
angles: 72.99 69.39 58.04
Closest atoms and distances in Å follow each position.
Sites, in units of the cell vectors:
O: 0.8310 0.9402 0.7818  1 V 2.00, 2 Ni 2.02-2.04, 2 Li 2.10-2.12
V: 0.9726 0.0441 0.9922  5 O 1.86-2.01
O: 0.5562 0.7188 0.2322  2 Li 1.95-2.02, 3 Ni 1.99-2.01
O: 0.3612 0.3721 0.6342  1 O 1.56
Li: 0.1275 0.3449 0.4669  5 O 1.98-2.10
Li: 0.7273 0.3010 0.5127  5 O 1.98-2.10
O: 0.0689 0.1973 0.2049  1 V 2.01, 2 Ni 2.03-2.07, 2 Li 2.03-2.06
Ni: 0.4447 0.0528 0.9564  5 O 2.01-2.09
Ni: 0.4398 0.5631 0.0519  5 O 1.99-2.12
O: 0.0328 0.7238 0.2345  1 V 1.88, 1 Li 2.10
O: 0.5020 0.2441 0.3582  1 O 1.56
Li: 0.6459 0.8317 0.4797  4 O 1.95-2.13
O: 0.3110 0.9015 0.7678  1 V 1.86, 2 Li 2.00-2.07, 2 Ni 2.06-2.08
Ni: 0.9184 0.5715 0.9961  5 O 1.99-2.19
Li: 0.2020 0.8087 0.4957  4 O 2.02-2.23
O: 0.8090 0.3944 0.7999  1 V 1.91, 2 Li 2.02-2.06, 2 Ni 2.05-2.12